Entry 1:
The following is a DFT calculation (PBE) of crystalline Pm2Dy4Sn3O2 at its relaxed geometry.

Unit cell a=4.6612 b=4.6612 c=13.1209 alpha=100.23 beta=100.23 gamma=90.00
Positions (direct):
Dy 0.4178 0.9178 0.8356
Dy 0.0822 0.5822 0.1644
Dy 0.9178 0.4178 0.8356
Dy 0.5822 0.0822 0.1644
O 0.5942 0.5942 0.1884
O 0.4058 0.4058 0.8116
Sn 0.0000 0.0000 0.0000
Sn 0.8245 0.8245 0.6489
Sn 0.1755 0.1755 0.3511
Pm 0.6948 0.6948 0.3896
Pm 0.3052 0.3052 0.6104

M_tot, μB per cell: 0.000
Crystal system: tetragonal
Volume, Å³ per atom: 25.08
Formation energy (no corrections), eV/atom: -1.536



Entry 2:
The following is a DFT calculation (PBE) of crystalline MgRePt3 at its relaxed geometry.

Unit cell a=4.8477 b=4.8477 c=4.8477 alpha=90.00 beta=90.00 gamma=90.00
Positions (direct):
Pt 0.0000 0.5000 0.0000
Pt 0.5000 0.0000 0.0000
Pt 0.0000 0.0000 0.5000
Re 0.0000 0.0000 0.0000
Mg 0.5000 0.5000 0.5000

M_tot, μB per cell: 0.000
Crystal system: cubic
Offset from the most stable computed form, eV per atom: 0.0000
Volume, Å³ per atom: 22.78
Energy relative to the elements, eV/f.u.: 3.961



Entry 3:
The following is a DFT calculation (PBE) of crystalline PtRh2 at its relaxed geometry.

Unit cell a=6.0379 b=6.0379 c=6.0379 alpha=90.00 beta=90.00 gamma=90.00
Positions (direct):
Pt 0.0000 0.5000 0.5000
Pt 0.5000 0.0000 0.5000
Pt 0.0000 0.0000 0.0000
Pt 0.5000 0.5000 0.0000
Rh 0.8850 0.1150 0.6150
Rh 0.8850 0.3850 0.1150
Rh 0.1150 0.6150 0.8850
Rh 0.1150 0.8850 0.3850
Rh 0.6150 0.8850 0.1150
Rh 0.6150 0.6150 0.6150
Rh 0.3850 0.1150 0.8850
Rh 0.3850 0.3850 0.3850

M_tot, μB per cell: 0.000
Crystal system: cubic
Offset from the most stable computed form, eV per atom: 0.7855
Volume, Å³ per atom: 18.34
Energy relative to the elements, eV/f.u.: 2.279



Entry 4:
The following is a DFT calculation (PBE) of crystalline Ho7PdSe5 at its relaxed geometry.

Unit cell a=3.9551 b=6.9382 c=24.3307 alpha=89.99 beta=90.00 gamma=106.56
Positions (direct):
Ho 0.3614 0.7227 0.5385
Ho 0.9109 0.8219 0.3835
Ho 0.0894 0.1788 0.6164
Ho 0.5402 0.0804 0.7500
Ho 0.7984 0.5969 0.8197
Ho 0.0897 0.1794 0.8835
Ho 0.2023 0.4046 0.1803
Ho 0.6392 0.2784 0.0385
Ho 0.7982 0.5964 0.6803
Ho 0.2022 0.4044 0.3197
Ho 0.3616 0.7231 0.9615
Ho 0.4603 0.9207 0.2500
Ho 0.9111 0.8222 0.1164
Ho 0.6390 0.2780 0.4615
Se 0.4444 0.8889 0.8562
Se 0.2800 0.5601 0.0706
Se 0.7207 0.4414 0.9294
Se 0.0002 0.0003 0.5000
Se 0.2799 0.5598 0.4295
Se 0.4442 0.8884 0.6439
Se 0.0004 0.0008 0.0000
Se 0.5563 0.1126 0.1439
Se 0.5562 0.1124 0.3561
Se 0.7205 0.4410 0.5706
Pd 0.8055 0.6110 0.2500
Pd 0.1951 0.3902 0.7501

M_tot, μB per cell: 0.000
Crystal system: orthorhombic
Volume, Å³ per atom: 24.61
Formation energy (no corrections), eV/atom: -1.474



Entry 5:
The following is a DFT calculation (PBE) of crystalline Cs2LiCa at its relaxed geometry.

Unit cell a=9.1039 b=9.1039 c=9.1039 alpha=100.66 beta=100.66 gamma=129.05
Positions (direct):
Cs 0.8222 0.3750 0.9472
Cs 0.6250 0.5722 0.4472
Cs 0.4278 0.8750 0.0528
Cs 0.1250 0.1778 0.5528
Li 0.7500 0.2500 0.5000
Li 0.5000 0.5000 0.0000
Ca 0.2500 0.7500 0.5000
Ca 0.0000 0.0000 0.0000

M_tot, μB per cell: 0.000
Crystal system: tetragonal
Offset from the most stable computed form, eV per atom: 0.0363
Volume, Å³ per atom: 66.12
Energy relative to the elements, eV/f.u.: 1.393



Entry 6:
The following is a DFT calculation (PBE) of crystalline Y3TmHg7 at its relaxed geometry.

Unit cell a=3.6508 b=15.5446 c=12.5846 alpha=90.00 beta=90.00 gamma=96.74
Positions (direct):
Y 0.0689 0.1377 0.4523
Y 0.1890 0.3781 0.7500
Y 0.9311 0.8623 0.5477
Y 0.8110 0.6219 0.2500
Y 0.0689 0.1377 0.0477
Y 0.9311 0.8623 0.9523
Hg 0.4199 0.8398 0.7500
Hg 0.6271 0.2542 0.8971
Hg 0.5801 0.1602 0.2500
Hg 0.3729 0.7458 0.3971
Hg 0.4883 0.9765 0.1179
Hg 0.5117 0.0235 0.8821
Hg 0.2698 0.5395 0.0776
Hg 0.4883 0.9765 0.3821
Hg 0.6271 0.2542 0.6029
Hg 0.7302 0.4605 0.9224
Hg 0.5117 0.0235 0.6179
Hg 0.3729 0.7458 0.1029
Hg 0.2698 0.5395 0.4224
Hg 0.7302 0.4605 0.5776
Tm 0.9290 0.8581 0.2500
Tm 0.0710 0.1419 0.7500

M_tot, μB per cell: 0.000
Crystal system: orthorhombic
Volume, Å³ per atom: 32.24
Energy relative to the elements, eV/f.u.: -2.478



Entry 7:
The following is a DFT calculation (PBE) of crystalline AcTl4I7 at its relaxed geometry.

Unit cell a=6.6343 b=8.7405 c=13.2155 alpha=94.94 beta=110.41 gamma=107.74
Positions (direct):
Tl 0.2387 0.7937 0.5381
Tl 0.5773 0.3915 0.8412
Tl 0.4227 0.6085 0.1588
Tl 0.7613 0.2063 0.4619
I 0.0750 0.3205 0.8884
I 0.6288 0.8113 0.4238
I 0.7097 0.7542 0.7581
I 0.9250 0.6795 0.1116
I 0.5000 0.0000 0.0000
I 0.2903 0.2458 0.2419
I 0.3712 0.1887 0.5762
Ac 0.0000 0.0000 0.0000

M_tot, μB per cell: 0.000
Crystal system: triclinic
Volume, Å³ per atom: 55.67
Formation energy (no corrections), eV/atom: -0.909



Entry 8:
The following is a DFT calculation (PBE) of crystalline YEr2Cd2 at its relaxed geometry.

Unit cell a=5.1602 b=5.1602 c=6.3377 alpha=90.00 beta=90.00 gamma=120.00
Positions (direct):
Er 0.3333 0.6667 0.6507
Er 0.6667 0.3333 0.3493
Cd 0.3333 0.6667 0.1584
Cd 0.6667 0.3333 0.8416
Y 0.0000 0.0000 0.0000

M_tot, μB per cell: 0.001
Crystal system: trigonal
Offset from the most stable computed form, eV per atom: 0.1978
Volume, Å³ per atom: 29.23
Energy relative to the elements, eV/f.u.: -0.353